VASP calculation (PBE) on a relaxed Ti6Ir5W crystal.

density	13.1	Mg/m³
SG	No. 65
formation energy	-0.75	eV per atom
calculated volume	15.16	Å³/atom
N(E_F)	0.61	states/eV per atom

abc: 4.334 6.462 6.847
angles: 90.00 71.55 90.00
Element x y z (fractional)
Ir 0.667 0.500 0.667
Ir 0.331 0.000 0.338
Ir 0.000 0.500 0.000
Ir 0.669 0.000 0.662
Ir 0.333 0.500 0.333
W 0.000 0.000 0.000
Ti 0.834 0.752 0.332
Ti 0.834 0.248 0.332
Ti 0.500 0.246 0.000
Ti 0.500 0.754 0.000
Ti 0.166 0.752 0.668
Ti 0.166 0.248 0.668